A plane-wave DFT calculation with GGA-PBE was carried out for a relaxed Sr2PmTcO6 crystal.

Computed properties:
The calculation puts the density of states at the Fermi level at 5.40 states/eV/f.u. The value obtained for the energy is -7.347 eV/atom.

Structure (CIF):
```
data_Sr2PmTcO6
_symmetry_space_group_name_H-M 'P 1 21/c 1'
_symmetry_Int_Tables_number 14
_cell_length_a 5.870
_cell_length_b 5.991
_cell_length_c 10.165
_cell_angle_alpha 90.00
_cell_angle_beta 124.73
_cell_angle_gamma 90.00
loop_
_symmetry_equiv_pos_as_xyz
'x,y,z'
'-x,-y,-z'
'-x,y+1/2,-z+1/2'
'x,-y+1/2,z+1/2'
loop_
_atom_site_label
_atom_site_type_symbol
_atom_site_fract_x
_atom_site_fract_y
_atom_site_fract_z
Sr1 Sr 0.238 0.043 0.250
Pm1 Pm 0.500 0.000 0.000
Tc1 Tc 0.000 0.000 0.500
O1 O 0.138 0.229 0.951
O2 O 0.226 0.692 0.956
O3 O 0.315 0.028 0.729
```

=====

A plane-wave DFT calculation with GGA-PBE was carried out for a relaxed La2ScTi crystal.

Computed properties:
For the energy of formation from the pure elements, the calculation gives 0.55 eV/atom. The calculation puts the density of states at the Fermi level at 6.69 states/eV/f.u. The value obtained for the energy is -5.469 eV/atom.

Structure (CIF):
```
data_La2ScTi
_symmetry_space_group_name_H-M 'I -4 2 d'
_symmetry_Int_Tables_number 122
_symmetry_space_group_name_Hall 'I -4 2bw'
_cell_length_a 8.574
_cell_length_b 8.574
_cell_length_c 6.367
_cell_angle_alpha 90.00
_cell_angle_beta 90.00
_cell_angle_gamma 90.00
loop_
_atom_site_label
_atom_site_type_symbol
_atom_site_fract_x
_atom_site_fract_y
_atom_site_fract_z
La1 La 0.223 0.750 0.125
Sc1 Sc 0.000 0.000 0.500
Ti1 Ti 0.000 0.000 0.000
```